{
  "formula": "CuAg2Ge",
  "functional": "PBE",
  "state": "relaxed",
  "lattice_angstrom": [[0.0000, 3.2141, 3.2141], [3.2141, 0.0000, 3.2141], [3.2141, 3.2141, 0.0000]],
  "species": ["Cu", "Ag", "Ag", "Ge"],
  "frac_coords": [[0.0000, 0.0000, 0.0000], [0.5000, 0.5000, 0.5000], [0.7500, 0.7500, 0.7500], [0.2500, 0.2500, 0.2500]],
  "final_energy_ev_per_atom": -3.357
}

{
  "formula": "CsNpAg",
  "functional": "PBE",
  "state": "relaxed",
  "lattice_angstrom": [[0.0000, 3.9817, 3.9817], [3.9817, 0.0000, 3.9817], [3.9817, 3.9817, 0.0000]],
  "species": ["Cs", "Np", "Ag"],
  "frac_coords": [[0.0000, 0.0000, 0.0000], [0.5000, 0.5000, 0.5000], [0.7500, 0.7500, 0.7500]],
  "e_above_lowest_polymorph_mev_per_atom": 0
}

{
  "formula": "YPbAuSe3",
  "functional": "PBE",
  "state": "relaxed",
  "lattice_angstrom": [[13.7610, 0.0000, 0.0000], [0.0000, 4.1007, 0.0000], [0.0000, 0.0000, 10.9981]],
  "species": ["Y", "Y", "Y", "Y", "Pb", "Pb", "Pb", "Pb", "Au", "Au", "Au", "Au", "Se", "Se", "Se", "Se", "Se", "Se", "Se", "Se", "Se", "Se", "Se", "Se"],
  "frac_coords": [[0.0108, 0.2500, 0.1732], [0.4892, 0.7500, 0.6732], [0.5108, 0.2500, 0.3268], [0.9892, 0.7500, 0.8268], [0.2216, 0.2500, 0.4479], [0.2784, 0.7500, 0.9479], [0.7216, 0.2500, 0.0521], [0.7784, 0.7500, 0.5521], [0.0067, 0.7500, 0.4047], [0.4933, 0.2500, 0.9047], [0.5067, 0.7500, 0.0953], [0.9933, 0.2500, 0.5953], [0.1074, 0.2500, 0.9396], [0.1241, 0.7500, 0.6270], [0.1487, 0.7500, 0.2453], [0.3513, 0.2500, 0.7453], [0.3759, 0.2500, 0.1270], [0.3926, 0.7500, 0.4396], [0.6074, 0.2500, 0.5604], [0.6241, 0.7500, 0.8730], [0.6487, 0.7500, 0.2547], [0.8513, 0.2500, 0.7547], [0.8759, 0.2500, 0.3730], [0.8926, 0.7500, 0.0604]],
  "e_above_lowest_polymorph_mev_per_atom": 28
}

{
  "formula": "TeAuNO",
  "functional": "PBE",
  "state": "relaxed",
  "lattice_angstrom": [[7.6838, 0.0000, 0.0000], [0.0000, 6.5559, 0.0000], [0.0000, 0.0000, 5.4651]],
  "species": ["Te", "Te", "Te", "Te", "Au", "Au", "Au", "Au", "N", "N", "N", "N", "O", "O", "O", "O"],
  "frac_coords": [[0.0349, 0.1622, 0.0000], [0.4651, 0.1622, 0.5000], [0.5349, 0.8378, 0.0000], [0.9651, 0.8378, 0.5000], [0.1091, 0.3833, 0.5120], [0.3909, 0.3833, 0.0120], [0.6091, 0.6167, 0.5120], [0.8909, 0.6167, 0.0120], [0.0878, 0.0862, 0.6427], [0.4122, 0.0862, 0.1427], [0.5878, 0.9138, 0.6427], [0.9122, 0.9138, 0.1427], [0.1711, 0.6826, 0.4393], [0.3289, 0.6826, 0.9393], [0.6711, 0.3174, 0.4393], [0.8289, 0.3174, 0.9393]],
  "e_above_lowest_polymorph_mev_per_atom": 18
}

{
  "formula": "RbCuWS3",
  "functional": "PBE",
  "state": "relaxed",
  "lattice_angstrom": [[1.7599, -7.5654, 0.0000], [1.7599, 7.5654, 0.0000], [0.0000, 0.0000, 9.4645]],
  "species": ["Rb", "Rb", "Cu", "Cu", "W", "W", "S", "S", "S", "S", "S", "S"],
  "frac_coords": [[0.2471, 0.7529, 0.7500], [0.7529, 0.2471, 0.2500], [0.0358, 0.9642, 0.2500], [0.9642, 0.0358, 0.7500], [0.5000, 0.5000, 0.0000], [0.5000, 0.5000, 0.5000], [0.1124, 0.8876, 0.0455], [0.1124, 0.8876, 0.4545], [0.4383, 0.5617, 0.2500], [0.5617, 0.4383, 0.7500], [0.8876, 0.1124, 0.5455], [0.8876, 0.1124, 0.9545]],
  "final_energy_ev_per_atom": -5.528
}

{
  "formula": "Nb2Si2Mo",
  "functional": "PBE",
  "state": "relaxed",
  "lattice_angstrom": [[-1.7087, 1.7087, 6.9262], [1.7087, -1.7087, 6.9262], [1.7087, 1.7087, -6.9262]],
  "species": ["Nb", "Nb", "Si", "Si", "Mo"],
  "frac_coords": [[0.1048, 0.1048, 0.0000], [0.8952, 0.8952, 0.0000], [0.2500, 0.7500, 0.5000], [0.7500, 0.2500, 0.5000], [0.5000, 0.5000, 0.0000]],
  "e_above_lowest_polymorph_mev_per_atom": 0
}

{
  "formula": "Nb4GaNiN2",
  "functional": "PBE",
  "state": "relaxed",
  "lattice_angstrom": [[3.1533, 0.0000, 0.0000], [-1.5767, 2.7309, 0.0000], [0.0000, 0.0000, 12.9606]],
  "species": ["Nb", "Nb", "Nb", "Nb", "Ga", "Ni", "N", "N"],
  "frac_coords": [[0.0000, 0.0000, 0.1493], [0.0000, 0.0000, 0.8507], [0.3333, 0.6667, 0.3326], [0.3333, 0.6667, 0.6674], [0.0000, 0.0000, 0.5000], [0.3333, 0.6667, 0.0000], [0.6667, 0.3333, 0.2399], [0.6667, 0.3333, 0.7601]],
  "final_energy_ev_per_atom": -8.772
}

{
  "formula": "InNiMo4C2",
  "functional": "PBE",
  "state": "relaxed",
  "lattice_angstrom": [[3.1020, 0.0000, 0.0000], [-1.5510, 2.6864, 0.0000], [0.0000, 0.0000, 13.1975]],
  "species": ["In", "Ni", "Mo", "Mo", "Mo", "Mo", "C", "C"],
  "frac_coords": [[0.0000, 0.0000, 0.0000], [0.3333, 0.6667, 0.5000], [0.0000, 0.0000, 0.3539], [0.0000, 0.0000, 0.6461], [0.3333, 0.6667, 0.1824], [0.3333, 0.6667, 0.8176], [0.6667, 0.3333, 0.2674], [0.6667, 0.3333, 0.7326]],
  "final_energy_ev_per_atom": -8.700
}

{
  "formula": "GdYSn2Ir",
  "functional": "PBE",
  "state": "relaxed",
  "lattice_angstrom": [[5.4977, -2.2564, 0.0000], [5.4977, 2.2564, 0.0000], [-4.7790, 0.0000, 9.8721]],
  "species": ["Gd", "Gd", "Y", "Y", "Sn", "Sn", "Sn", "Sn", "Ir", "Ir"],
  "frac_coords": [[0.1881, 0.1881, 0.1280], [0.8119, 0.8119, 0.8720], [0.9997, 0.9997, 0.3293], [0.0003, 0.0003, 0.6707], [0.3449, 0.3449, 0.4517], [0.4717, 0.4717, 0.1180], [0.5283, 0.5283, 0.8820], [0.6551, 0.6551, 0.5483], [0.2751, 0.2751, 0.6737], [0.7249, 0.7249, 0.3263]],
  "final_energy_ev_per_atom": -6.394
}

{
  "formula": "Li4ZnGa2Ni",
  "functional": "PBE",
  "state": "relaxed",
  "lattice_angstrom": [[4.2314, 0.0000, 0.0000], [0.0000, 4.2314, 0.0000], [0.0000, 0.0000, 6.0457]],
  "species": ["Li", "Li", "Li", "Li", "Zn", "Ga", "Ga", "Ni"],
  "frac_coords": [[0.0000, 0.0000, 0.0000], [0.0000, 0.5000, 0.7424], [0.5000, 0.0000, 0.2576], [0.5000, 0.5000, 0.5000], [0.5000, 0.5000, 0.0000], [0.0000, 0.5000, 0.2729], [0.5000, 0.0000, 0.7271], [0.0000, 0.0000, 0.5000]],
  "final_energy_ev_per_atom": -2.864
}

{
  "formula": "Gd3InFeSn2Ir2",
  "functional": "PBE",
  "state": "relaxed",
  "lattice_angstrom": [[3.8386, 0.0000, 0.0000], [0.0000, 6.5879, 3.8043], [0.0000, -6.5879, 3.8043]],
  "species": ["Gd", "Gd", "Gd", "In", "Fe", "Sn", "Sn", "Ir", "Ir"],
  "frac_coords": [[0.0000, 0.0000, 0.0000], [0.0000, 0.4125, 0.8236], [0.0000, 0.8236, 0.4125], [0.5000, 0.6656, 0.6656], [0.0000, 0.4042, 0.4042], [0.5000, 0.1590, 0.4119], [0.5000, 0.4119, 0.1590], [0.5000, 0.0824, 0.7455], [0.5000, 0.7455, 0.0824]],
  "final_energy_ev_per_atom": -6.257
}

{
  "formula": "Cs2LiNbSe4",
  "functional": "PBE",
  "state": "relaxed",
  "lattice_angstrom": [[7.2645, 0.0000, 0.0000], [-0.1785, 7.6099, 0.0000], [-0.4378, -1.1855, 10.2057]],
  "species": ["Cs", "Cs", "Cs", "Cs", "Li", "Li", "Nb", "Nb", "Se", "Se", "Se", "Se", "Se", "Se", "Se", "Se"],
  "frac_coords": [[0.1264, 0.2010, 0.1545], [0.3008, 0.7538, 0.5044], [0.6992, 0.2462, 0.4956], [0.8736, 0.7990, 0.8455], [0.4095, 0.6766, 0.0728], [0.5905, 0.3234, 0.9272], [0.2182, 0.2908, 0.7482], [0.7818, 0.7092, 0.2518], [0.0874, 0.6996, 0.1678], [0.1983, 0.2507, 0.5124], [0.3813, 0.0517, 0.8320], [0.3978, 0.5626, 0.8217], [0.6022, 0.4374, 0.1783], [0.6187, 0.9483, 0.1680], [0.8017, 0.7493, 0.4876], [0.9126, 0.3004, 0.8322]],
  "e_above_lowest_polymorph_mev_per_atom": 19
}